SiCCl2 | GGA-PBE | relaxed

abc: 8.197 8.197 8.197
angles: 22.61 22.61 22.61
Element x y z (fractional)
Cl 0.103 0.103 0.103
C 0.500 0.500 0.500
Si 0.000 0.000 0.000
Cl 0.897 0.897 0.897

Results
For the energy above the most stable polymorph in this dataset, the calculation gives 0 meV/atom. The density of states at the Fermi level is 2.22 states/eV per cell. The formation energy (no corrections) comes out at 585 kJ/mol of formula units.



SiCCl3 | GGA-PBE | relaxed

abc: 9.931 9.931 10.026
angles: 83.62 83.62 103.02
Element x y z (fractional)
Cl 0.594 0.835 0.960
C 0.228 0.228 0.304
C 0.772 0.772 0.696
Cl 0.939 0.152 0.783
Cl 0.061 0.848 0.217
Si 0.821 0.606 0.758
Cl 0.406 0.165 0.040
Cl 0.007 0.599 0.654
Cl 0.835 0.594 0.960
C 0.059 0.059 0.505
Cl 0.327 0.563 0.273
Si 0.896 0.896 0.325
Cl 0.673 0.437 0.727
Cl 0.401 0.993 0.346
Cl 0.152 0.939 0.783
Cl 0.563 0.327 0.273
Cl 0.437 0.673 0.727
Cl 0.728 0.728 0.349
Si 0.394 0.179 0.242
Si 0.606 0.821 0.758
Si 0.179 0.394 0.242
Si 0.104 0.104 0.675
Cl 0.993 0.401 0.346
Cl 0.848 0.061 0.217
C 0.859 0.859 0.599
Cl 0.599 0.007 0.654
C 0.141 0.141 0.401
Cl 0.272 0.272 0.651
Cl 0.165 0.406 0.040
C 0.941 0.941 0.495

Results
For the energy above the most stable polymorph in this dataset, the calculation gives 0 meV/atom. The density of states at the Fermi level is 0.00 states/eV per cell. The formation energy (no corrections) comes out at -395 kJ/mol of formula units.